{"formula": "Te2RuAu", "functional": "GGA-PBE", "state": "relaxed", "total_energy_ry_per_atom": -0.3348, "polymorph_energy_mev_per_atom": 189.0, "space_group": "Pm (6)", "e_form_raw_ev_per_atom": 0.154, "dos_ef_per_ev_cell": 2.47, "total_magnetization_mub_per_cell": 0.00, "lattice_angstrom": [[4.4539, 0.0000, 0.0000], [0.0000, 5.0705, 0.0000], [-1.4401, 0.0000, 4.2559]], "species": ["Te", "Te", "Ru", "Au"], "frac_coords": [[0.0000, 0.0000, 0.0000], [0.4739, 0.5000, 0.5258], [0.8451, 0.5000, 0.1552], [0.6318, 0.0000, 0.3730]]}



{"formula": "Te2RuAu", "functional": "GGA-PBE", "state": "relaxed", "total_energy_ry_per_atom": -0.3143, "polymorph_energy_mev_per_atom": 467.9, "space_group": "C2/m (12)", "e_form_raw_ev_per_atom": 0.433, "dos_ef_per_ev_cell": 5.22, "total_magnetization_mub_per_cell": 0.00, "lattice_angstrom": [[3.0332, -3.8907, 0.0000], [3.0332, 3.8907, 0.0000], [-2.9282, 0.0000, 3.8863]], "species": ["Te", "Te", "Ru", "Au"], "frac_coords": [[0.0000, 0.5000, 0.0000], [0.5000, 0.0000, 0.0000], [0.0000, 0.0000, 0.5000], [0.5000, 0.5000, 0.5000]]}



{"formula": "TeRuAu2", "functional": "GGA-PBE", "state": "relaxed", "total_energy_ry_per_atom": -0.3273, "space_group": "R3m (160)", "e_form_raw_ev_per_atom": 0.290, "dos_ef_per_ev_cell": 3.47, "total_magnetization_mub_per_cell": 0.00, "lattice_angstrom": [[1.6233, 0.9372, 8.6700], [-1.6233, 0.9372, 8.6700], [0.0000, -1.8744, 8.6700]], "species": ["Te", "Ru", "Au", "Au"], "frac_coords": [[0.0000, 0.0000, 0.0000], [0.7359, 0.7359, 0.7359], [0.2327, 0.2327, 0.2327], [0.4837, 0.4837, 0.4837]]}



Q: Which formula does entry 2 have?
A: Te2RuAu